Here is an optimized crystal structure of ScHgSeO from the Open Quantum Materials Database. Energies are from PBE-GGA.

a = 5.386 Å, b = 5.394 Å, c = 11.872 Å
α = 90.00°, β = 92.48°, γ = 90.00°
Space group P2_1 (No. 4)
Unique sites:
Sc1 0.008 0.000 0.079
Sc2 0.492 0.001 0.921
Hg1 0.114 0.607 0.404
Hg2 0.374 0.616 0.600
Se1 0.213 0.247 0.751
Se2 0.286 0.251 0.250
O1 0.250 0.256 0.000
O2 0.250 0.753 0.000

Calculated values
Energy above the lowest structure with this stoichiometry = 0.0 meV/atom
Total DFT energy (no corrections) = -5.56 eV per atom

Here is an optimized crystal structure of ScHgSeO from the Open Quantum Materials Database. Energies are from PBE-GGA.

a = 4.265 Å, b = 8.811 Å, c = 5.568 Å
α = 90.00°, β = 90.00°, γ = 90.00°
Space group Pmc2_1 (No. 26)
Unique sites:
Sc1 0.000 0.124 0.000
Hg1 0.500 0.309 0.576
Se1 0.500 0.305 0.080
O1 0.000 0.063 0.674

Calculated values
Energy above the lowest structure with this stoichiometry = 198.6 meV/atom
Total DFT energy (no corrections) = -5.36 eV per atom

Here is an optimized crystal structure of ScHgSeO from the Open Quantum Materials Database. Energies are from PBE-GGA.

a = 3.889 Å, b = 3.889 Å, c = 9.834 Å
α = 90.00°, β = 90.00°, γ = 90.00°
Space group P4/nmm (No. 129, origin choice 2)
Unique sites:
Sc1 0.250 0.250 0.091
Hg1 0.250 0.750 0.500
Se1 0.250 0.250 0.749
O1 0.250 0.750 0.000

Calculated values
Energy above the lowest structure with this stoichiometry = 264.8 meV/atom
Total DFT energy (no corrections) = -5.29 eV per atom

Here is an optimized crystal structure of ScHgTeO from the Open Quantum Materials Database. Energies are from PBE-GGA.

a = 4.501 Å, b = 8.932 Å, c = 5.879 Å
α = 90.00°, β = 90.00°, γ = 90.00°
Space group Pmc2_1 (No. 26)
Unique sites:
Sc1 0.000 0.114 0.000
Hg1 0.500 0.300 0.613
Te1 0.500 0.308 0.118
O1 0.000 0.061 0.686

Calculated values
Energy above the lowest structure with this stoichiometry = 152.3 meV/atom
Total DFT energy (no corrections) = -5.17 eV per atom